# CoOsCl2 | Alexandria via LeMat-Bulk | SCAN | single point on PBEsol structure
data_CoOsCl2
_chemical_formula_sum 'Co2 Os2 Cl4'
_space_group_name_H-M_alt 'C m m 2'
_space_group_IT_number 35
_cell_length_a 2.821
_cell_length_b 5.214
_cell_length_c 8.978
_cell_angle_alpha 90.00
_cell_angle_beta 90.00
_cell_angle_gamma 90.00
loop_
_space_group_symop_operation_xyz
'x,y,z'
'-x,-y,z'
'-x,y,z'
'x,-y,z'
'x+1/2,y+1/2,z'
'-x+1/2,-y+1/2,z'
'-x+1/2,y+1/2,z'
'x+1/2,-y+1/2,z'
loop_
_atom_site_label
_atom_site_type_symbol
_atom_site_fract_x
_atom_site_fract_y
_atom_site_fract_z
_atom_site_occupancy
Co1 Co 0.000 0.000 0.000 1
Os1 Os 0.000 0.500 0.227 1
Cl1 Cl 0.000 0.000 0.443 1
Cl2 Cl 0.000 0.500 0.809 1
# **Total magnetization**: 2.92 μB per formula unit
# **Energy above the lowest structure with this stoichiometry**: 0 meV per atom
# **DOS(E_F)**: 7.2 states/eV per cell
# **Density**: 8.05 g cm⁻³
# **ΔE_f (raw)**: 0.370 eV per atom